6
Lattice="3.1297 0.0000 0.0000 0.0000 4.6231 0.0017 0.0000 -0.0987 4.6261" Properties=species:S:1:pos:R:3 comment="CrMoO4 PBE+U optimized geometry" final_energy_ev_per_atom=-7.54 space_group="Cmmm (65)" mass_density_kg_m3=5258 pbc="T T T"
Cr 0.0000 2.3115 0.0008
Mo 1.5649 -0.0494 2.3131
O 1.5649 3.2185 0.9242
O 1.5649 1.3059 3.7037
O 0.0000 0.8776 1.4099
O 0.0000 3.6468 3.2180